Entry from Alexandria via LeMat-Bulk: crystalline ErMgHg2 at its relaxed geometry (PBEsol).

Structure (POSCAR):
```
ErMgHg2
1.0
0.000 3.509 3.509
3.509 0.000 3.509
3.509 3.509 0.000
Er Mg Hg
1 1 2
Cartesian
0.000 0.000 0.000
3.509 3.509 3.509
1.755 1.755 1.755
5.264 5.264 5.264
```

Output
Symmetry: Fm-3m (225)
Formation energy from the elements (eV/atom): -0.552
DOS(E_F) (states/eV per atom): 0.297